DFT (GGA+U) results for an optimized crystal structure of KHf2MnO.

Its crystal system is tetragonal. The magnetization is 4.04 μB/f.u. The calculation puts the raw total energy at -4.049 eV per atom.

The structure belongs to space group P4/mmm (No. 123); the cell edges are 5.060, 5.060 and 4.775 Å and the angles 90.00°, 90.00° and 90.00°. Symmetry generates all atoms from K at (0.000, 0.000, 0.000), Hf at (0.000, 0.500, 0.000), Mn at (0.000, 0.000, 0.500) and O at (0.500, 0.500, 0.500).